Model P:
Entry from OQMD via LeMat-Bulk: crystalline LiZnCoRe at its relaxed geometry (GGA-PBE).

Calculated values
Mass density (g/cm³): 10.9

```
data_LiZnCoRe
_chemical_formula_sum 'Li4 Zn4 Co4 Re4'
_cell_length_a 5.786
_cell_length_b 5.786
_cell_length_c 5.786
_cell_angle_alpha 90.00
_cell_angle_beta 90.00
_cell_angle_gamma 90.00
_space_group_name_H-M_alt 'F -4 3 m'
_space_group_IT_number 216
_space_group_name_Hall 'F -4 2 3'
loop_
_atom_site_label
_atom_site_fract_x
_atom_site_fract_y
_atom_site_fract_z
Li1 0.000 0.000 0.000
Zn1 0.250 0.250 0.250
Co1 0.000 0.000 0.500
Re1 0.250 0.250 0.750
```

---

Model Q:
Entry from OQMD via LeMat-Bulk: crystalline LiZnCoRe at its relaxed geometry (GGA-PBE).

Calculated values
Mass density (g/cm³): 10.3

```
data_LiZnCoRe
_chemical_formula_sum 'Li4 Zn4 Co4 Re4'
_cell_length_a 5.889
_cell_length_b 5.889
_cell_length_c 5.889
_cell_angle_alpha 90.00
_cell_angle_beta 90.00
_cell_angle_gamma 90.00
_space_group_name_H-M_alt 'F -4 3 m'
_space_group_IT_number 216
_space_group_name_Hall 'F -4 2 3'
loop_
_atom_site_label
_atom_site_fract_x
_atom_site_fract_y
_atom_site_fract_z
Li1 0.000 0.000 0.000
Zn1 0.000 0.000 0.500
Co1 0.250 0.250 0.750
Re1 0.250 0.250 0.250
```

---

Q: Which of them is the most stable? A: model P.

---

Model P:
Entry from OQMD via LeMat-Bulk: crystalline LiScCoSb at its relaxed geometry (GGA-PBE).

Calculated values
Mass density (g/cm³): 6.4

```
data_LiScCoSb
_chemical_formula_sum 'Li4 Sc4 Co4 Sb4'
_cell_length_a 6.235
_cell_length_b 6.235
_cell_length_c 6.235
_cell_angle_alpha 90.00
_cell_angle_beta 90.00
_cell_angle_gamma 90.00
_space_group_name_H-M_alt 'F -4 3 m'
_space_group_IT_number 216
_space_group_name_Hall 'F -4 2 3'
loop_
_atom_site_label
_atom_site_fract_x
_atom_site_fract_y
_atom_site_fract_z
Li1 0.000 0.000 0.000
Sc1 0.250 0.250 0.750
Co1 0.000 0.000 0.500
Sb1 0.250 0.250 0.250
```

---

Model Q:
Entry from OQMD via LeMat-Bulk: crystalline LiScCoSb at its relaxed geometry (GGA-PBE).

Calculated values
Mass density (g/cm³): 6.0

```
data_LiScCoSb
_chemical_formula_sum 'Li4 Sc4 Co4 Sb4'
_cell_length_a 6.369
_cell_length_b 6.369
_cell_length_c 6.369
_cell_angle_alpha 90.00
_cell_angle_beta 90.00
_cell_angle_gamma 90.00
_space_group_name_H-M_alt 'F -4 3 m'
_space_group_IT_number 216
_space_group_name_Hall 'F -4 2 3'
loop_
_atom_site_label
_atom_site_fract_x
_atom_site_fract_y
_atom_site_fract_z
Li1 0.000 0.000 0.000
Sc1 0.250 0.250 0.750
Co1 0.250 0.250 0.250
Sb1 0.000 0.000 0.500
```

---

Q: Which of them is the most stable? A: model P.

---

Model P:
Entry from OQMD via LeMat-Bulk: crystalline LiCoSbW at its relaxed geometry (GGA-PBE).

Calculated values
Mass density (g/cm³): 10.3

```
data_LiCoSbW
_chemical_formula_sum 'Li4 Co4 Sb4 W4'
_cell_length_a 6.209
_cell_length_b 6.209
_cell_length_c 6.209
_cell_angle_alpha 90.00
_cell_angle_beta 90.00
_cell_angle_gamma 90.00
_space_group_name_H-M_alt 'F -4 3 m'
_space_group_IT_number 216
_space_group_name_Hall 'F -4 2 3'
loop_
_atom_site_label
_atom_site_fract_x
_atom_site_fract_y
_atom_site_fract_z
Li1 0.000 0.000 0.000
Co1 0.250 0.250 0.750
Sb1 0.000 0.000 0.500
W1 0.250 0.250 0.250
```

---

Model Q:
Entry from OQMD via LeMat-Bulk: crystalline LiCoSbW at its relaxed geometry (GGA-PBE).

Calculated values
Mass density (g/cm³): 10.6

```
data_LiCoSbW
_chemical_formula_sum 'Li4 Co4 Sb4 W4'
_cell_length_a 6.155
_cell_length_b 6.155
_cell_length_c 6.155
_cell_angle_alpha 90.00
_cell_angle_beta 90.00
_cell_angle_gamma 90.00
_space_group_name_H-M_alt 'F -4 3 m'
_space_group_IT_number 216
_space_group_name_Hall 'F -4 2 3'
loop_
_atom_site_label
_atom_site_fract_x
_atom_site_fract_y
_atom_site_fract_z
Li1 0.000 0.000 0.000
Co1 0.000 0.000 0.500
Sb1 0.250 0.250 0.250
W1 0.250 0.250 0.750
```

---

Q: Which of them is the most stable? A: model Q.

---

Model P:
Entry from OQMD via LeMat-Bulk: crystalline LiZrCoSb at its relaxed geometry (GGA-PBE).

Calculated values
Mass density (g/cm³): 6.9

```
data_LiZrCoSb
_chemical_formula_sum 'Li4 Zr4 Co4 Sb4'
_cell_length_a 6.457
_cell_length_b 6.457
_cell_length_c 6.457
_cell_angle_alpha 90.00
_cell_angle_beta 90.00
_cell_angle_gamma 90.00
_space_group_name_H-M_alt 'F -4 3 m'
_space_group_IT_number 216
_space_group_name_Hall 'F -4 2 3'
loop_
_atom_site_label
_atom_site_fract_x
_atom_site_fract_y
_atom_site_fract_z
Li1 0.000 0.000 0.000
Zr1 0.250 0.250 0.250
Co1 0.250 0.250 0.750
Sb1 0.000 0.000 0.500
```

---

Model Q:
Entry from OQMD via LeMat-Bulk: crystalline LiZrCoSb at its relaxed geometry (GGA-PBE).

Calculated values
Mass density (g/cm³): 7.4

```
data_LiZrCoSb
_chemical_formula_sum 'Li4 Zr4 Co4 Sb4'
_cell_length_a 6.309
_cell_length_b 6.309
_cell_length_c 6.309
_cell_angle_alpha 90.00
_cell_angle_beta 90.00
_cell_angle_gamma 90.00
_space_group_name_H-M_alt 'F -4 3 m'
_space_group_IT_number 216
_space_group_name_Hall 'F -4 2 3'
loop_
_atom_site_label
_atom_site_fract_x
_atom_site_fract_y
_atom_site_fract_z
Li1 0.000 0.000 0.000
Zr1 0.250 0.250 0.750
Co1 0.000 0.000 0.500
Sb1 0.250 0.250 0.250
```

---

Q: Which of them is the most stable? A: model Q.

---

Model P:
Entry from OQMD via LeMat-Bulk: crystalline LiScCoSi at its relaxed geometry (GGA-PBE).

Calculated values
Mass density (g/cm³): 4.1

```
data_LiScCoSi
_chemical_formula_sum 'Li4 Sc4 Co4 Si4'
_cell_length_a 6.096
_cell_length_b 6.096
_cell_length_c 6.096
_cell_angle_alpha 90.00
_cell_angle_beta 90.00
_cell_angle_gamma 90.00
_space_group_name_H-M_alt 'F -4 3 m'
_space_group_IT_number 216
_space_group_name_Hall 'F -4 2 3'
loop_
_atom_site_label
_atom_site_fract_x
_atom_site_fract_y
_atom_site_fract_z
Li1 0.000 0.000 0.000
Sc1 0.000 0.000 0.500
Co1 0.250 0.250 0.750
Si1 0.250 0.250 0.250
```

---

Model Q:
Entry from OQMD via LeMat-Bulk: crystalline LiScCoSi at its relaxed geometry (GGA-PBE).

Calculated values
Mass density (g/cm³): 4.3

```
data_LiScCoSi
_chemical_formula_sum 'Li4 Sc4 Co4 Si4'
_cell_length_a 5.982
_cell_length_b 5.982
_cell_length_c 5.982
_cell_angle_alpha 90.00
_cell_angle_beta 90.00
_cell_angle_gamma 90.00
_space_group_name_H-M_alt 'F -4 3 m'
_space_group_IT_number 216
_space_group_name_Hall 'F -4 2 3'
loop_
_atom_site_label
_atom_site_fract_x
_atom_site_fract_y
_atom_site_fract_z
Li1 0.000 0.000 0.000
Sc1 0.250 0.250 0.750
Co1 0.250 0.250 0.250
Si1 0.000 0.000 0.500
```

---

Model R:
Entry from OQMD via LeMat-Bulk: crystalline LiScCoSi at its relaxed geometry (GGA-PBE).

Calculated values
Mass density (g/cm³): 4.4

```
data_LiScCoSi
_chemical_formula_sum 'Li4 Sc4 Co4 Si4'
_cell_length_a 5.932
_cell_length_b 5.932
_cell_length_c 5.932
_cell_angle_alpha 90.00
_cell_angle_beta 90.00
_cell_angle_gamma 90.00
_space_group_name_H-M_alt 'F -4 3 m'
_space_group_IT_number 216
_space_group_name_Hall 'F -4 2 3'
loop_
_atom_site_label
_atom_site_fract_x
_atom_site_fract_y
_atom_site_fract_z
Li1 0.000 0.000 0.000
Sc1 0.250 0.250 0.250
Co1 0.000 0.000 0.500
Si1 0.250 0.250 0.750
```

---

Q: Which of them is the most stable? A: model R.

---

Model P:
Entry from OQMD via LeMat-Bulk: crystalline LiScCoSn at its relaxed geometry (GGA-PBE).

Calculated values
Mass density (g/cm³): 6.1

```
data_LiScCoSn
_chemical_formula_sum 'Li4 Sc4 Co4 Sn4'
_cell_length_a 6.306
_cell_length_b 6.306
_cell_length_c 6.306
_cell_angle_alpha 90.00
_cell_angle_beta 90.00
_cell_angle_gamma 90.00
_space_group_name_H-M_alt 'F -4 3 m'
_space_group_IT_number 216
_space_group_name_Hall 'F -4 2 3'
loop_
_atom_site_label
_atom_site_fract_x
_atom_site_fract_y
_atom_site_fract_z
Li1 0.000 0.000 0.000
Sc1 0.250 0.250 0.750
Co1 0.000 0.000 0.500
Sn1 0.250 0.250 0.250
```

---

Model Q:
Entry from OQMD via LeMat-Bulk: crystalline LiScCoSn at its relaxed geometry (GGA-PBE).

Calculated values
Mass density (g/cm³): 5.8

```
data_LiScCoSn
_chemical_formula_sum 'Li4 Sc4 Co4 Sn4'
_cell_length_a 6.389
_cell_length_b 6.389
_cell_length_c 6.389
_cell_angle_alpha 90.00
_cell_angle_beta 90.00
_cell_angle_gamma 90.00
_space_group_name_H-M_alt 'F -4 3 m'
_space_group_IT_number 216
_space_group_name_Hall 'F -4 2 3'
loop_
_atom_site_label
_atom_site_fract_x
_atom_site_fract_y
_atom_site_fract_z
Li1 0.000 0.000 0.000
Sc1 0.250 0.250 0.250
Co1 0.250 0.250 0.750
Sn1 0.000 0.000 0.500
```

---

Model R:
Entry from OQMD via LeMat-Bulk: crystalline LiScCoSn at its relaxed geometry (GGA-PBE).

Calculated values
Mass density (g/cm³): 5.5

```
data_LiScCoSn
_chemical_formula_sum 'Li4 Sc4 Co4 Sn4'
_cell_length_a 6.513
_cell_length_b 6.513
_cell_length_c 6.513
_cell_angle_alpha 90.00
_cell_angle_beta 90.00
_cell_angle_gamma 90.00
_space_group_name_H-M_alt 'F -4 3 m'
_space_group_IT_number 216
_space_group_name_Hall 'F -4 2 3'
loop_
_atom_site_label
_atom_site_fract_x
_atom_site_fract_y
_atom_site_fract_z
Li1 0.000 0.000 0.000
Sc1 0.000 0.000 0.500
Co1 0.250 0.250 0.750
Sn1 0.250 0.250 0.250
```

---

Q: Which of them is the most stable? A: model P.